## one
VASP calculation (PBE) on a geometry-optimized CrTe2SeN structure.

Geometry as CIF:
```
data_CrTe2SeN
_symmetry_space_group_name_H-M 'P 4/m m m'
_symmetry_Int_Tables_number 123
_symmetry_space_group_name_Hall '-P 4 2'
_cell_length_a 5.584
_cell_length_b 5.584
_cell_length_c 3.623
_cell_angle_alpha 90.00
_cell_angle_beta 90.00
_cell_angle_gamma 90.00
loop_
_atom_site_label
_atom_site_fract_x
_atom_site_fract_y
_atom_site_fract_z
Cr1 0.000 0.000 0.000
Te1 0.000 0.500 0.500
Se1 0.500 0.500 0.500
N1 0.500 0.500 0.000
```


## two
VASP calculation (PBE) on a geometry-optimized CrTe2SeN structure.

Geometry as CIF:
```
data_CrTe2SeN
_symmetry_space_group_name_H-M 'P 4/m m m'
_symmetry_Int_Tables_number 123
_symmetry_space_group_name_Hall '-P 4 2'
_cell_length_a 5.260
_cell_length_b 5.260
_cell_length_c 3.560
_cell_angle_alpha 90.00
_cell_angle_beta 90.00
_cell_angle_gamma 90.00
loop_
_atom_site_label
_atom_site_fract_x
_atom_site_fract_y
_atom_site_fract_z
Cr1 0.000 0.000 0.000
Te1 0.000 0.500 0.000
Se1 0.500 0.500 0.500
N1 0.000 0.000 0.500
```


The relative energies come out as one 1196; two 0, with values in meV per atom.


## one
VASP calculation (PBE) on a geometry-optimized CrTeSeN2 structure.

Geometry as CIF:
```
data_CrTeSeN2
_symmetry_space_group_name_H-M 'P 4/m m m'
_symmetry_Int_Tables_number 123
_symmetry_space_group_name_Hall '-P 4 2'
_cell_length_a 3.797
_cell_length_b 3.797
_cell_length_c 7.555
_cell_angle_alpha 90.00
_cell_angle_beta 90.00
_cell_angle_gamma 90.00
loop_
_atom_site_label
_atom_site_fract_x
_atom_site_fract_y
_atom_site_fract_z
Cr1 0.000 0.000 0.000
Te1 0.500 0.500 0.000
Se1 0.500 0.500 0.500
N1 0.000 0.500 0.500
```


## two
VASP calculation (PBE) on a geometry-optimized CrTeSeN2 structure.

Geometry as CIF:
```
data_CrTeSeN2
_symmetry_space_group_name_H-M 'P 4/m m m'
_symmetry_Int_Tables_number 123
_symmetry_space_group_name_Hall '-P 4 2'
_cell_length_a 3.814
_cell_length_b 3.814
_cell_length_c 5.865
_cell_angle_alpha 90.00
_cell_angle_beta 90.00
_cell_angle_gamma 90.00
loop_
_atom_site_label
_atom_site_fract_x
_atom_site_fract_y
_atom_site_fract_z
Cr1 0.000 0.000 0.000
Te1 0.000 0.000 0.500
Se1 0.500 0.500 0.500
N1 0.000 0.500 0.000
```


## three
VASP calculation (PBE) on a geometry-optimized CrTeSeN2 structure.

Geometry as CIF:
```
data_CrTeSeN2
_symmetry_space_group_name_H-M 'P 4/m m m'
_symmetry_Int_Tables_number 123
_symmetry_space_group_name_Hall '-P 4 2'
_cell_length_a 3.922
_cell_length_b 3.922
_cell_length_c 5.971
_cell_angle_alpha 90.00
_cell_angle_beta 90.00
_cell_angle_gamma 90.00
loop_
_atom_site_label
_atom_site_fract_x
_atom_site_fract_y
_atom_site_fract_z
Cr1 0.000 0.000 0.000
Te1 0.500 0.500 0.500
Se1 0.500 0.500 0.000
N1 0.000 0.500 0.500
```


## four
VASP calculation (PBE) on a geometry-optimized CrTeSeN2 structure.

Geometry as CIF:
```
data_CrTeSeN2
_symmetry_space_group_name_H-M 'P 4/m m m'
_symmetry_Int_Tables_number 123
_symmetry_space_group_name_Hall '-P 4 2'
_cell_length_a 3.840
_cell_length_b 3.840
_cell_length_c 5.184
_cell_angle_alpha 90.00
_cell_angle_beta 90.00
_cell_angle_gamma 90.00
loop_
_atom_site_label
_atom_site_fract_x
_atom_site_fract_y
_atom_site_fract_z
Cr1 0.000 0.000 0.000
Te1 0.500 0.500 0.500
Se1 0.000 0.000 0.500
N1 0.000 0.500 0.000
```


The relative energies come out as one 909; two 0; three 694; four 116, with values in meV per atom.


## one
VASP calculation (PBE) on a geometry-optimized TlCrSeN2 structure.

Geometry as CIF:
```
data_TlCrSeN2
_symmetry_space_group_name_H-M 'P 4/m m m'
_symmetry_Int_Tables_number 123
_symmetry_space_group_name_Hall '-P 4 2'
_cell_length_a 3.953
_cell_length_b 3.953
_cell_length_c 6.020
_cell_angle_alpha 90.00
_cell_angle_beta 90.00
_cell_angle_gamma 90.00
loop_
_atom_site_label
_atom_site_fract_x
_atom_site_fract_y
_atom_site_fract_z
Tl1 0.000 0.000 0.000
Cr1 0.500 0.500 0.000
Se1 0.000 0.000 0.500
N1 0.000 0.500 0.500
```


## two
VASP calculation (PBE) on a geometry-optimized TlCrSeN2 structure.

Geometry as CIF:
```
data_TlCrSeN2
_symmetry_space_group_name_H-M 'P 4/m m m'
_symmetry_Int_Tables_number 123
_symmetry_space_group_name_Hall '-P 4 2'
_cell_length_a 3.820
_cell_length_b 3.820
_cell_length_c 5.274
_cell_angle_alpha 90.00
_cell_angle_beta 90.00
_cell_angle_gamma 90.00
loop_
_atom_site_label
_atom_site_fract_x
_atom_site_fract_y
_atom_site_fract_z
Tl1 0.000 0.000 0.000
Cr1 0.500 0.500 0.500
Se1 0.500 0.500 0.000
N1 0.000 0.500 0.500
```


## three
VASP calculation (PBE) on a geometry-optimized TlCrSeN2 structure.

Geometry as CIF:
```
data_TlCrSeN2
_symmetry_space_group_name_H-M 'P 4/m m m'
_symmetry_Int_Tables_number 123
_symmetry_space_group_name_Hall '-P 4 2'
_cell_length_a 4.140
_cell_length_b 4.140
_cell_length_c 5.921
_cell_angle_alpha 90.00
_cell_angle_beta 90.00
_cell_angle_gamma 90.00
loop_
_atom_site_label
_atom_site_fract_x
_atom_site_fract_y
_atom_site_fract_z
Tl1 0.000 0.000 0.000
Cr1 0.500 0.500 0.500
Se1 0.000 0.000 0.500
N1 0.000 0.500 0.000
```


The relative energies come out as one 1313; two 0; three 1820, with values in meV per atom.